Compound: PrH6RuAu
Source: Alexandria via LeMat-Bulk
Functional: PBE
Structure: relaxed

The total energy comes out at -39.02 eV per formula unit.

The space group is P-6m2 (No. 187) and the conventional cell measures 4.8601, 4.8601 and 4.3433 Å, with angles of 90.00, 90.00 and 120.00 degrees. Symmetry generates all atoms from Pr at (0.0000, 0.0000, 0.0000), H at (0.5209, 0.0418, 0.2253), Ru at (0.6667, 0.3333, 0.5000) and Au at (0.3333, 0.6667, 0.5000).